No. 1
Material: Tb4Er3Sc
Method: DFT, PBE
State: relaxed

Summary:
As for the calculated formation energy: 0.097 eV per atom. The calculated total energy is -4.72 eV per atom. Its space group is I4/mcm (140). The density of states at the Fermi level is 1.355 states/eV per atom.

abc: 8.8445 8.8445 8.8445
angles: 120.67 120.67 88.85
With the nearest neighbours (Å) after each atom.
Fractional coordinates of all 16 atoms:
Tb1 0.0123 0.5123 0.1996  5 Er 3.23-3.51, 3 Tb 3.32-3.44
Tb2 0.1873 0.9877 0.5000  5 Er 3.23-3.51, 3 Tb 3.32-3.44
Tb3 0.3127 0.8127 0.8004  5 Er 3.23-3.51, 3 Tb 3.32-3.44
Tb4 0.4877 0.6873 0.5000  5 Er 3.23-3.51, 3 Tb 3.32-3.44
Tb5 0.5123 0.3127 0.5000  5 Er 3.23-3.51, 3 Tb 3.32-3.44
Tb6 0.6873 0.1873 0.1996  5 Er 3.23-3.51, 3 Tb 3.32-3.44
Tb7 0.8127 0.0123 0.5000  5 Er 3.23-3.51, 3 Tb 3.32-3.44
Tb8 0.9877 0.4877 0.8004  5 Er 3.23-3.51, 3 Tb 3.32-3.44
Er1 0.1487 0.3513 0.5000  6 Tb 3.23-3.33, 2 Sc 3.34
Er2 0.2500 0.2500 0.0000  2 Sc 3.16, 8 Tb 3.51
Er3 0.3513 0.8513 0.2027  6 Tb 3.23-3.33, 2 Sc 3.34
Er4 0.6487 0.1487 0.7973  6 Tb 3.23-3.33, 2 Sc 3.34
Er5 0.7500 0.7500 0.0000  2 Sc 3.16, 8 Tb 3.51
Er6 0.8513 0.6487 0.5000  6 Tb 3.23-3.33, 2 Sc 3.34
Sc1 0.0000 0.0000 0.0000  6 Er 3.16-3.34
Sc2 0.5000 0.5000 0.0000  6 Er 3.16-3.34

=====

No. 2
Material: Ce12InIr7
Method: DFT, PBE
State: relaxed

Summary:
As for the calculated formation energy: -0.463 eV per atom. The calculated total energy is -7.26 eV per atom. Its space group is R-3 (148). The density of states at the Fermi level is 1.985 states/eV per atom.

abc: 8.4200 8.4200 8.4200
angles: 109.90 109.90 109.90
With the nearest neighbours (Å) after each atom.
Fractional coordinates of all 20 atoms:
Ce1 0.0995 0.3097 0.4229  1 Ce 2.85, 3 Ir 2.86-3.06
Ce2 0.1861 0.6958 0.3649  3 Ir 2.76-2.97, 1 Ce 2.85
Ce3 0.3042 0.6351 0.8139  3 Ir 2.76-2.97, 1 Ce 2.85
Ce4 0.3097 0.4229 0.0995  1 Ce 2.85, 3 Ir 2.86-3.06
Ce5 0.3649 0.1861 0.6958  3 Ir 2.76-2.97, 1 Ce 2.85
Ce6 0.4229 0.0995 0.3097  1 Ce 2.85, 3 Ir 2.86-3.06
Ce7 0.5771 0.9005 0.6903  1 Ce 2.85, 3 Ir 2.86-3.06
Ce8 0.6351 0.8139 0.3042  3 Ir 2.76-2.97, 1 Ce 2.85
Ce9 0.6903 0.5771 0.9005  1 Ce 2.85, 3 Ir 2.86-3.06
Ce10 0.6958 0.3649 0.1861  3 Ir 2.76-2.97, 1 Ce 2.85
Ce11 0.8139 0.3042 0.6351  3 Ir 2.76-2.97, 1 Ce 2.85
Ce12 0.9005 0.6903 0.5771  1 Ce 2.85, 3 Ir 2.86-3.06
In1 0.0000 0.0000 0.0000  6 Ir 2.97, 6 Ce 3.22
Ir1 0.0160 0.9175 0.3193  5 Ce 2.76-3.06, 1 In 2.97, 1 Ir 3.03
Ir2 0.0825 0.6807 0.9840  5 Ce 2.76-3.06, 1 In 2.97, 1 Ir 3.03
Ir3 0.3193 0.0160 0.9175  5 Ce 2.76-3.06, 1 In 2.97, 1 Ir 3.03
Ir4 0.5000 0.5000 0.5000  6 Ce 2.91
Ir5 0.6807 0.9840 0.0825  5 Ce 2.76-3.06, 1 In 2.97, 1 Ir 3.03
Ir6 0.9175 0.3193 0.0160  5 Ce 2.76-3.06, 1 In 2.97, 1 Ir 3.03
Ir7 0.9840 0.0825 0.6807  5 Ce 2.76-3.06, 1 In 2.97, 1 Ir 3.03

=====

No. 3
Material: Ac5TbCd4
Method: DFT, PBE
State: relaxed

Summary:
As for the calculated formation energy: -0.217 eV per atom. The calculated total energy is -3.10 eV per atom. Its space group is P4/mmm (123). The density of states at the Fermi level is 1.269 states/eV per atom.

abc: 4.0424 4.0424 21.4043
angles: 90.00 90.00 90.00
With the nearest neighbours (Å) after each atom.
Fractional coordinates of all 10 atoms:
Ac1 0.0000 0.0000 0.0000  8 Cd 3.51
Ac2 0.0000 0.0000 0.1924  8 Cd 3.53-3.55
Ac3 0.0000 0.0000 0.3848  4 Cd 3.50, 4 Tb 3.78
Ac4 0.0000 0.0000 0.6152  4 Cd 3.50, 4 Tb 3.78
Ac5 0.0000 0.0000 0.8076  8 Cd 3.53-3.55
Tb1 0.5000 0.5000 0.5000  8 Ac 3.78, 4 Tb 4.04
Cd1 0.5000 0.5000 0.0956  8 Ac 3.51-3.53
Cd2 0.5000 0.5000 0.2905  8 Ac 3.50-3.55
Cd3 0.5000 0.5000 0.7095  8 Ac 3.50-3.55
Cd4 0.5000 0.5000 0.9044  8 Ac 3.51-3.53